Material: YPuS3
Method: DFT, GGA-PBE
State: optimized geometry

Cell and atoms, written as extended XYZ:
```
20
Lattice="7.325 0.000 0.000 0.000 3.935 0.000 0.000 0.000 15.107" Properties=species:S:1:pos:R:3 pbc="T T T"
Y 1.728 0.984 0.637
Y 1.934 2.951 8.191
Y 5.391 0.984 6.916
Y 5.597 2.951 14.469
Pu 1.019 2.951 4.415
Pu 2.644 0.984 11.968
Pu 4.681 2.951 3.139
Pu 6.306 0.984 10.692
S 0.076 2.951 1.615
S 0.907 0.984 6.529
S 1.073 2.951 10.883
S 2.589 0.984 3.329
S 2.756 2.951 14.082
S 3.587 0.984 9.168
S 3.738 2.951 5.939
S 4.569 0.984 1.024
S 4.736 2.951 11.778
S 6.251 0.984 4.224
S 6.418 2.951 8.578
S 7.249 0.984 13.492
```

Values from the calculation:
- E_form (uncorrected) (eV per atom) = -1.87
- D(E_F) (states/eV per cell) = 29.045
- uncorrected energy (eV per atom) = -8.51
- mass density (g cm⁻³) = 6.5
- total moment (μB/f.u.) = 5.0
- space group = Pnma

Material: ScNi3B3
Method: DFT, GGA-PBE
State: optimized geometry

Cell and atoms, written as extended XYZ:
```
14
Lattice="5.448 0.000 0.000 0.000 5.448 0.000 0.000 0.000 5.448" Properties=species:S:1:pos:R:3 pbc="T T T"
Sc 0.000 0.000 0.000
Sc 2.724 2.724 2.724
Ni 0.000 1.362 2.724
Ni 0.000 4.086 2.724
Ni 1.362 2.724 0.000
Ni 2.724 0.000 1.362
Ni 2.724 0.000 4.086
Ni 4.086 2.724 0.000
B 0.000 2.724 1.362
B 0.000 2.724 4.086
B 1.362 0.000 2.724
B 2.724 1.362 0.000
B 2.724 4.086 0.000
B 4.086 0.000 2.724
```

Values from the calculation:
- D(E_F) (states/eV per cell) = 11.086
- uncorrected energy (eV per atom) = -6.28
- formation energy from the elements (eV per atom) = -0.032
- mass density (g cm⁻³) = 5.2
- total moment (μB/f.u.) = 0.0
- space group = Pm-3n

Material: AlFe3Ru
Method: DFT, GGA-PBE
State: optimized geometry

Cell and atoms, written as extended XYZ:
```
5
Lattice="4.254 0.000 0.000 0.000 4.254 0.000 0.000 0.000 4.254" Properties=species:S:1:pos:R:3 pbc="T T T"
Al 0.000 0.000 0.000
Fe 0.000 0.000 2.127
Fe 0.000 2.127 0.000
Fe 2.127 0.000 0.000
Ru 2.127 2.127 2.127
```

Values from the calculation:
- D(E_F) (states/eV per cell) = 4.722
- uncorrected energy (eV per atom) = -6.42
- formation energy from the elements (eV per atom) = 1.265
- mass density (g cm⁻³) = 6.4
- total moment (μB/f.u.) = 8.9
- space group = Pm-3m

Material: LiSmGa2Pd4
Method: DFT, GGA-PBE
State: optimized geometry

Cell and atoms, written as extended XYZ:
```
8
Lattice="2.169 1.253 8.294 -2.169 1.253 8.294 0.000 -2.505 8.294" Properties=species:S:1:pos:R:3 pbc="T T T"
Li 0.000 0.000 0.000
Sm 0.000 0.000 12.441
Ga 0.000 0.000 6.526
Ga 0.000 0.000 18.355
Pd 0.000 0.000 2.446
Pd 0.000 0.000 9.203
Pd 0.000 0.000 15.678
Pd 0.000 0.000 22.435
```

Values from the calculation:
- D(E_F) (states/eV per cell) = 3.130
- uncorrected energy (eV per atom) = -4.92
- formation energy from the elements (eV per atom) = -0.737
- mass density (g cm⁻³) = 8.9
- total moment (μB/f.u.) = 0.0
- space group = R-3m

Material: PrEr9Tm2
Method: DFT, GGA-PBE
State: optimized geometry

Cell and atoms, written as extended XYZ:
```
12
Lattice="4.979 0.000 0.000 0.000 4.979 0.000 0.000 0.000 14.936" Properties=species:S:1:pos:R:3 pbc="T T T"
Pr 0.000 0.000 0.000
Er 0.000 2.490 2.542
Er 0.000 2.490 7.468
Er 0.000 2.490 12.394
Er 2.490 0.000 2.542
Er 2.490 0.000 7.468
Er 2.490 0.000 12.394
Er 2.490 2.490 0.000
Er 2.490 2.490 5.017
Er 2.490 2.490 9.919
Tm 0.000 0.000 5.003
Tm 0.000 0.000 9.933
```

Values from the calculation:
- D(E_F) (states/eV per cell) = 17.148
- uncorrected energy (eV per atom) = -4.54
- formation energy from the elements (eV per atom) = 0.027
- mass density (g cm⁻³) = 8.9
- total moment (μB/f.u.) = 0.0
- space group = P4/mmm

Material: ScCdB
Method: DFT, GGA-PBE
State: optimized geometry

Cell and atoms, written as extended XYZ:
```
6
Lattice="4.193 0.000 0.000 0.000 4.193 0.000 0.000 0.000 6.052" Properties=species:S:1:pos:R:3 pbc="T T T"
Sc 1.048 1.048 1.055
Sc 3.145 3.145 4.996
Cd 1.048 1.048 4.109
Cd 3.145 3.145 1.943
B 1.048 3.145 0.000
B 3.145 1.048 0.000
```

Values from the calculation:
- D(E_F) (states/eV per cell) = 1.620
- uncorrected energy (eV per atom) = -4.41
- formation energy from the elements (eV per atom) = 0.232
- mass density (g cm⁻³) = 5.2
- total moment (μB/f.u.) = 0.0
- space group = P4/nmm

Material: RbBaCa2Pt
Method: DFT, GGA-PBE
State: optimized geometry

Cell and atoms, written as extended XYZ:
```
5
Lattice="5.876 0.000 0.000 0.000 5.876 0.000 0.000 0.000 6.300" Properties=species:S:1:pos:R:3 pbc="T T T"
Rb 0.000 0.000 0.000
Ba 2.938 2.938 0.000
Ca 0.000 2.938 3.150
Ca 2.938 0.000 3.150
Pt 2.938 2.938 3.150
```

Values from the calculation:
- D(E_F) (states/eV per cell) = 2.935
- uncorrected energy (eV per atom) = -2.95
- formation energy from the elements (eV per atom) = -0.362
- mass density (g cm⁻³) = 3.8
- total moment (μB/f.u.) = 0.0
- space group = P4/mmm

Material: Ca3Tc
Method: DFT, GGA-PBE
State: optimized geometry

Cell and atoms, written as extended XYZ:
```
4
Lattice="4.807 0.000 0.000 0.000 4.807 0.000 0.000 0.000 4.807" Properties=species:S:1:pos:R:3 pbc="T T T"
Ca 0.000 0.000 2.404
Ca 0.000 2.404 0.000
Ca 2.404 0.000 0.000
Tc 2.404 2.404 2.404
```

Values from the calculation:
- D(E_F) (states/eV per cell) = 4.435
- uncorrected energy (eV per atom) = -3.49
- formation energy from the elements (eV per atom) = 0.599
- mass density (g cm⁻³) = 3.3
- total moment (μB/f.u.) = 0.9
- space group = Pm-3m

Material: PaPtSe2
Method: DFT, GGA-PBE
State: optimized geometry

Cell and atoms, written as extended XYZ:
```
12
Lattice="4.279 0.000 0.000 -2.139 3.706 0.000 0.000 0.000 22.827" Properties=species:S:1:pos:R:3 pbc="T T T"
Pa 0.000 0.000 0.000
Pa 0.000 2.470 15.218
Pa 2.139 1.235 7.609
Pt 0.000 0.000 11.413
Pt 0.000 2.470 3.804
Pt 2.139 1.235 19.022
Se 0.000 0.000 9.061
Se 0.000 0.000 13.766
Se 0.000 2.470 1.452
Se 0.000 2.470 6.157
Se 2.139 1.235 16.670
Se 2.139 1.235 21.375
```

Values from the calculation:
- E_form (uncorrected) (eV per atom) = -0.51
- D(E_F) (states/eV per cell) = 12.756
- uncorrected energy (eV per atom) = -6.14
- mass density (g cm⁻³) = 8.0
- total moment (μB/f.u.) = 1.0
- space group = R-3m

Material: SrAcLaTl
Method: DFT, GGA-PBE
State: optimized geometry

Cell and atoms, written as extended XYZ:
```
16
Lattice="8.446 0.000 0.000 0.000 8.446 0.000 0.000 0.000 8.446" Properties=species:S:1:pos:R:3 pbc="T T T"
Sr 0.000 0.000 0.000
Sr 0.000 4.223 4.223
Sr 4.223 0.000 4.223
Sr 4.223 4.223 0.000
Ac 2.111 2.111 6.334
Ac 2.111 6.334 2.111
Ac 6.334 2.111 2.111
Ac 6.334 6.334 6.334
La 0.000 0.000 4.223
La 0.000 4.223 0.000
La 4.223 0.000 0.000
La 4.223 4.223 4.223
Tl 2.111 2.111 2.111
Tl 2.111 6.334 6.334
Tl 6.334 2.111 6.334
Tl 6.334 6.334 2.111
```

Values from the calculation:
- D(E_F) (states/eV per cell) = 26.062
- uncorrected energy (eV per atom) = -3.23
- formation energy from the elements (eV per atom) = 0.043
- mass density (g cm⁻³) = 7.3
- total moment (μB/f.u.) = 0.1
- space group = F-43m

Material: In3HgSb
Method: DFT, GGA-PBE
State: optimized geometry

Cell and atoms, written as extended XYZ:
```
5
Lattice="5.497 0.000 0.000 0.000 5.497 0.000 0.000 0.000 5.497" Properties=species:S:1:pos:R:3 pbc="T T T"
In 0.000 0.000 2.748
In 0.000 2.748 0.000
In 2.748 0.000 0.000
Hg 0.000 0.000 0.000
Sb 2.748 2.748 2.748
```

Values from the calculation:
- E_form (uncorrected) (eV per atom) = 0.37
- D(E_F) (states/eV per cell) = 2.259
- uncorrected energy (eV per atom) = -2.16
- mass density (g cm⁻³) = 6.7
- total moment (μB/f.u.) = 0.0
- space group = Pm-3m

Material: Ac2Al7Au
Method: DFT, GGA-PBE
State: optimized geometry

Cell and atoms, written as extended XYZ:
```
10
Lattice="4.500 0.000 0.000 0.000 4.500 0.000 0.000 0.000 10.999" Properties=species:S:1:pos:R:3 pbc="T T T"
Ac 0.000 2.250 2.729
Ac 2.250 0.000 8.270
Al 0.000 0.000 0.000
Al 0.000 0.000 5.499
Al 0.000 2.250 6.977
Al 0.000 2.250 9.599
Al 2.250 0.000 1.400
Al 2.250 0.000 4.022
Al 2.250 2.250 5.499
Au 2.250 2.250 0.000
```

Values from the calculation:
- D(E_F) (states/eV per cell) = 3.004
- uncorrected energy (eV per atom) = -4.21
- formation energy from the elements (eV per atom) = -0.441
- mass density (g cm⁻³) = 6.3
- total moment (μB/f.u.) = 0.0
- space group = P-4m2